Entry 1:
Density functional theory data (PBE) for a relaxed LaPrThMg crystal. Values from VASP.

Values from the calculation:
Crystal system: cubic
Density, g/cm3: 6.8
Formation energy, meV per atom: 133
Uncorrected energy, eV/atom: -4.547

Structure (Quantum ESPRESSO input):
```
&SYSTEM
  ibrav = 0, nat = 4, ntyp = 4
/
ATOMIC_SPECIES
La 138.91 La.upf
Pr 140.91 Pr.upf
Th 232.04 Th.upf
Mg 24.30 Mg.upf
ATOMIC_POSITIONS crystal
La 0.0000 0.0000 0.0000
Pr 0.5000 0.5000 0.5000
Th 0.7500 0.7500 0.7500
Mg 0.2500 0.2500 0.2500
CELL_PARAMETERS angstrom
0.0000 4.0212 4.0212
4.0212 0.0000 4.0212
4.0212 4.0212 0.0000
```



Entry 2:
Density functional theory data (PBE) for a relaxed La6PrTm2Mg crystal. Values from VASP.

Values from the calculation:
Crystal system: monoclinic
Density, g/cm3: 6.4
Formation energy, meV per atom: 90
Uncorrected energy, eV/atom: -4.399

Structure (Quantum ESPRESSO input):
```
&SYSTEM
  ibrav = 0, nat = 20, ntyp = 4
/
ATOMIC_SPECIES
La 138.91 La.upf
Pr 140.91 Pr.upf
Tm 168.93 Tm.upf
Mg 24.30 Mg.upf
ATOMIC_POSITIONS crystal
La 0.0453 0.4652 0.6705
La 0.0590 0.8231 0.9012
La 0.1769 0.9410 0.5988
La 0.2405 0.5797 0.0802
La 0.4203 0.7595 0.4198
La 0.4652 0.0453 0.1705
La 0.5348 0.9547 0.8295
La 0.5797 0.2405 0.5802
La 0.7595 0.4203 0.9198
La 0.8231 0.0590 0.4012
La 0.9410 0.1769 0.0988
La 0.9547 0.5348 0.3295
Pr 0.4315 0.5685 0.7500
Pr 0.5685 0.4315 0.2500
Tm 0.2344 0.3005 0.4036
Tm 0.3005 0.2344 0.9036
Tm 0.6995 0.7656 0.0964
Tm 0.7656 0.6995 0.5964
Mg 0.0970 0.9030 0.2500
Mg 0.9030 0.0970 0.7500
CELL_PARAMETERS angstrom
5.3152 -6.9165 0.0000
5.3152 6.9165 0.0000
-1.6182 0.0000 9.3713
```



Entry 3:
Density functional theory data (PBE) for a relaxed LaPrTmMg crystal. Values from VASP.

Values from the calculation:
Crystal system: cubic
Density, g/cm3: 6.2
Formation energy, meV per atom: -1
Uncorrected energy, eV/atom: -3.944
ΔE to the lowest computed polymorph, eV/atom: 0.0213

Structure (Quantum ESPRESSO input):
```
&SYSTEM
  ibrav = 0, nat = 4, ntyp = 4
/
ATOMIC_SPECIES
La 138.91 La.upf
Pr 140.91 Pr.upf
Tm 168.93 Tm.upf
Mg 24.30 Mg.upf
ATOMIC_POSITIONS crystal
La 0.0000 0.0000 0.0000
Pr 0.5000 0.5000 0.5000
Tm 0.2500 0.2500 0.2500
Mg 0.7500 0.7500 0.7500
CELL_PARAMETERS angstrom
0.0000 3.9910 3.9910
3.9910 0.0000 3.9910
3.9910 3.9910 0.0000
```



Entry 4:
Density functional theory data (PBE) for a relaxed La2PrTm2Mg5 crystal. Values from VASP.

Values from the calculation:
Crystal system: tetragonal
Density, g/cm3: 4.9
Formation energy, meV per atom: 3
Uncorrected energy, eV/atom: -3.152

Structure (Quantum ESPRESSO input):
```
&SYSTEM
  ibrav = 0, nat = 20, ntyp = 4
/
ATOMIC_SPECIES
La 138.91 La.upf
Pr 140.91 Pr.upf
Tm 168.93 Tm.upf
Mg 24.30 Mg.upf
ATOMIC_POSITIONS crystal
La 0.1757 0.3243 0.0000
La 0.3243 0.8243 0.0000
La 0.6757 0.1757 0.0000
La 0.8243 0.6757 0.0000
Pr 0.0000 0.0000 0.0000
Pr 0.5000 0.5000 0.0000
Tm 0.1193 0.6193 0.0000
Tm 0.3807 0.1193 0.0000
Tm 0.6193 0.8807 0.0000
Tm 0.8807 0.3807 0.0000
Mg 0.0000 0.5000 0.5000
Mg 0.0741 0.7988 0.5000
Mg 0.2012 0.0741 0.5000
Mg 0.2988 0.5741 0.5000
Mg 0.4259 0.2988 0.5000
Mg 0.5000 0.0000 0.5000
Mg 0.5741 0.7012 0.5000
Mg 0.7012 0.4259 0.5000
Mg 0.7988 0.9259 0.5000
Mg 0.9259 0.2012 0.5000
CELL_PARAMETERS angstrom
10.7082 0.0000 0.0000
0.0000 10.7082 0.0000
0.0000 0.0000 5.1474
```



| no. | Fermi-level density of states (states/eV/f.u.) |
| --- | --- |
| 1 | 6.63 |
| 2 | 15.10 |
| 3 | 4.39 |
| 4 | 7.23 |